--- 1 ---
A plane-wave DFT calculation with PBE was carried out for a relaxed structure of Ac3PrPb2.

space group: Ibam (72)
theoretical density: 7.87 g/cm³

Lattice parameters (Å, degrees): 7.8078 8.4795 9.7647 115.73 113.57 90.00
Atoms (fractional coordinates):
1 Ac 0.5000 0.2500 0.0000
2 Ac 0.5000 0.7500 0.0000
3 Pr 0.0000 0.0000 0.0000
4 Pr 0.0000 0.5000 0.0000
5 Ac 0.7905 0.0405 0.5810
6 Ac 0.2095 0.4595 0.4190
7 Pb 0.8252 0.1406 0.2813
8 Pb 0.4561 0.6406 0.2813
9 Ac 0.7905 0.5405 0.5810
10 Pb 0.5439 0.3594 0.7187
11 Ac 0.2095 0.9595 0.4190
12 Pb 0.1748 0.8594 0.7187

---

--- 2 ---
A plane-wave DFT calculation with PBE was carried out for a relaxed structure of Ac3PrPb2.

space group: P-4m2 (115)
theoretical density: 8.92 g/cm³

Lattice parameters (Å, degrees): 4.9715 4.9715 9.3068 90.00 90.00 90.00
Atoms (fractional coordinates):
1 Pb 0.0000 0.5000 0.2760
2 Pr 0.5000 0.5000 0.0000
3 Ac 0.0000 0.5000 0.6501
4 Ac 0.0000 0.0000 0.0000
5 Pb 0.5000 0.0000 0.7240
6 Ac 0.5000 0.0000 0.3499

---

Most stable pick: 2. Distance to second place: 202 meV per atom.

---

--- 1 ---
A plane-wave DFT calculation with PBE was carried out for a relaxed structure of AcPrTePb.

space group: R3m (160)
theoretical density: 7.90 g/cm³

Lattice parameters (Å, degrees): 4.7121 4.7121 8.1468 73.19 73.19 60.00
Atoms (fractional coordinates):
1 Te 0.4481 0.4481 0.6557
2 Pb 0.9397 0.9397 0.1808
3 Pr 0.1969 0.1969 0.4092
4 Ac 0.6916 0.6916 0.9251

---

--- 2 ---
A plane-wave DFT calculation with PBE was carried out for a relaxed structure of AcPrTePb.

space group: F-43m (216)
theoretical density: 8.79 g/cm³

Lattice parameters (Å, degrees): 5.7270 5.7270 5.7270 60.00 60.00 60.00
Atoms (fractional coordinates):
1 Ac 0.0000 0.0000 0.0000
2 Pr 0.5000 0.5000 0.5000
3 Te 0.2500 0.2500 0.2500
4 Pb 0.7500 0.7500 0.7500

---

Most stable pick: 1. Distance to second place: 216 meV per atom.

---

--- 1 ---
A plane-wave DFT calculation with PBE was carried out for a relaxed structure of AcPt2Pb2.

space group: C2/m (12)
theoretical density: 12.92 g/cm³

Lattice parameters (Å, degrees): 4.4858 5.5689 5.9822 105.53 112.02 90.00
Atoms (fractional coordinates):
1 Pb 0.3514 0.4158 0.7027
2 Ac 0.0000 0.0000 0.0000
3 Pt 0.7222 0.1393 0.4444
4 Pt 0.2778 0.8607 0.5556
5 Pb 0.6486 0.5842 0.2973

---

--- 2 ---
A plane-wave DFT calculation with PBE was carried out for a relaxed structure of AcPt2Pb2.

space group: P2_1/m (11)
theoretical density: 13.22 g/cm³

Lattice parameters (Å, degrees): 4.7229 5.0457 10.8749 90.72 90.00 90.00
Atoms (fractional coordinates):
1 Pt 0.7500 0.6656 0.0042
2 Pt 0.7500 0.2663 0.3638
3 Pb 0.7500 0.7627 0.4938
4 Pb 0.7500 0.1655 0.1162
5 Pt 0.2500 0.3344 0.9958
6 Ac 0.7500 0.3129 0.7629
7 Ac 0.2500 0.6871 0.2371
8 Pb 0.2500 0.2373 0.5062
9 Pt 0.2500 0.7337 0.6362
10 Pb 0.2500 0.8345 0.8838

---

Most stable pick: 2. Distance to second place: 8 meV per atom.

---

--- 1 ---
A plane-wave DFT calculation with PBE was carried out for a relaxed structure of AcPtPb.

space group: Pmma (51)
theoretical density: 12.59 g/cm³

Lattice parameters (Å, degrees): 4.2865 8.0474 14.4357 90.00 90.00 90.00
Atoms (fractional coordinates):
1 Pt 0.0000 0.4458 0.7500
2 Ac 0.0000 0.2321 0.5459
3 Ac 0.0000 0.1428 0.2500
4 Pt 0.5000 0.9388 0.9061
5 Pt 0.5000 0.9388 0.5939
6 Pb 0.5000 0.5671 0.6279
7 Ac 0.0000 0.8572 0.7500
8 Pb 0.5000 0.2006 0.7500
9 Pt 0.5000 0.0612 0.4061
10 Pb 0.5000 0.5671 0.8721
11 Pt 0.0000 0.5542 0.2500
12 Pt 0.5000 0.0612 0.0939
13 Pb 0.5000 0.4329 0.3721
14 Pb 0.5000 0.7994 0.2500
15 Ac 0.0000 0.2321 0.9541
16 Pb 0.5000 0.4329 0.1279
17 Ac 0.0000 0.7679 0.0459
18 Ac 0.0000 0.7679 0.4541

---

--- 2 ---
A plane-wave DFT calculation with PBE was carried out for a relaxed structure of AcPtPb.

space group: P-6m2 (187)
theoretical density: 12.45 g/cm³

Lattice parameters (Å, degrees): 4.0262 4.9058 4.9058 120.00 90.00 90.00
Atoms (fractional coordinates):
1 Ac 0.6666 0.3333 0.6667
2 Pt 0.1669 0.6667 0.3333
3 Pb 0.1665 0.0000 0.0000

---

--- 3 ---
A plane-wave DFT calculation with PBE was carried out for a relaxed structure of AcPtPb.

space group: F-43m (216)
theoretical density: 11.45 g/cm³

Lattice parameters (Å, degrees): 5.0537 5.0537 5.0537 60.00 60.00 60.00
Atoms (fractional coordinates):
1 Pt 0.2500 0.2500 0.2500
2 Ac 0.0000 0.0000 0.0000
3 Pb 0.5000 0.5000 0.5000

---

--- 4 ---
A plane-wave DFT calculation with PBE was carried out for a relaxed structure of AcPtPb.

space group: C2/m (12)
theoretical density: 12.08 g/cm³

Lattice parameters (Å, degrees): 4.6866 6.8209 8.3145 43.92 73.64 69.94
Atoms (fractional coordinates):
1 Pb 0.5872 0.6282 0.1970
2 Pt 0.2235 0.3823 0.1705
3 Pb 0.4128 0.3718 0.8030
4 Ac 0.8666 0.9560 0.3104
5 Ac 0.1334 0.0440 0.6896
6 Pt 0.7765 0.6177 0.8295

---

Most stable pick: 1. Distance to second place: 43 meV per atom.

---

--- 1 ---
A plane-wave DFT calculation with PBE was carried out for a relaxed structure of Ac5PtPb2.

space group: Cmcm (63)
theoretical density: 9.50 g/cm³

Lattice parameters (Å, degrees): 6.4199 6.3646 17.2834 90.00 90.00 120.29
Atoms (fractional coordinates):
1 Pb 0.2502 0.5005 0.9431
2 Pb 0.2502 0.5005 0.5569
3 Pb 0.7498 0.4995 0.4431
4 Ac 0.4178 0.8355 0.1118
5 Ac 0.5822 0.1645 0.6118
6 Pb 0.7498 0.4995 0.0569
7 Pt 0.7506 0.5011 0.7500
8 Ac 0.0820 0.1639 0.3886
9 Ac 0.7500 0.4999 0.2500
10 Ac 0.4178 0.8355 0.3882
11 Ac 0.9180 0.8361 0.6114
12 Ac 0.9180 0.8361 0.8886
13 Pt 0.2494 0.4989 0.2500
14 Ac 0.0820 0.1639 0.1114
15 Ac 0.2500 0.5001 0.7500
16 Ac 0.5822 0.1645 0.8882

---

--- 2 ---
A plane-wave DFT calculation with PBE was carried out for a relaxed structure of Ac5PtPb2.

space group: Pbam (55)
theoretical density: 9.62 g/cm³

Lattice parameters (Å, degrees): 4.9298 9.0669 13.4807 90.00 90.00 90.00
Atoms (fractional coordinates):
1 Ac 0.0000 0.3570 0.2958
2 Ac 0.5000 0.1809 0.0677
3 Ac 0.0000 0.6430 0.7042
4 Pt 0.0000 0.0000 0.0000
5 Ac 0.5000 0.3191 0.5677
6 Ac 0.5000 0.8191 0.9323
7 Ac 0.0000 0.8570 0.2042
8 Pb 0.5000 0.4234 0.8279
9 Pb 0.5000 0.0766 0.3279
10 Pt 0.0000 0.5000 0.5000
11 Ac 0.0000 0.5000 0.0000
12 Pb 0.5000 0.9234 0.6721
13 Ac 0.0000 0.0000 0.5000
14 Ac 0.5000 0.6809 0.4323
15 Pb 0.5000 0.5766 0.1721
16 Ac 0.0000 0.1430 0.7958

---

Most stable pick: 2. Distance to second place: 210 meV per atom.

---

--- 1 ---
A plane-wave DFT calculation with PBE was carried out for a relaxed structure of AcPt3Pb3.

space group: P6_3/m (176)
theoretical density: 13.21 g/cm³

Lattice parameters (Å, degrees): 4.7591 9.3512 9.3520 119.99 90.00 90.00
Atoms (fractional coordinates):
1 Ac 0.7500 0.3333 0.6667
2 Pt 0.2500 0.4005 0.4551
3 Ac 0.2500 0.6667 0.3333
4 Pt 0.7500 0.4550 0.0545
5 Pb 0.7500 0.7593 0.0435
6 Pt 0.7500 0.9455 0.4005
7 Pb 0.2500 0.2407 0.9565
8 Pt 0.2500 0.0545 0.5995
9 Pb 0.7500 0.9564 0.7156
10 Pb 0.2500 0.0436 0.2844
11 Pt 0.2500 0.5450 0.9455
12 Pb 0.7500 0.2845 0.2409
13 Pt 0.7500 0.5995 0.5449
14 Pb 0.2500 0.7155 0.7591

---

--- 2 ---
A plane-wave DFT calculation with PBE was carried out for a relaxed structure of AcPt3Pb3.

space group: Pm-3n (223)
theoretical density: 11.19 g/cm³

Lattice parameters (Å, degrees): 7.5215 7.5215 7.5215 90.00 90.00 90.00
Atoms (fractional coordinates):
1 Pt 0.0000 0.5000 0.2500
2 Pt 0.7500 0.0000 0.5000
3 Pt 0.5000 0.2500 0.0000
4 Pt 0.2500 0.0000 0.5000
5 Pb 0.7500 0.5000 0.0000
6 Pb 0.0000 0.2500 0.5000
7 Pb 0.5000 0.0000 0.2500
8 Pb 0.5000 0.0000 0.7500
9 Pt 0.0000 0.5000 0.7500
10 Pb 0.0000 0.7500 0.5000
11 Ac 0.5000 0.5000 0.5000
12 Pt 0.5000 0.7500 0.0000
13 Pb 0.2500 0.5000 0.0000
14 Ac 0.0000 0.0000 0.0000

---

Most stable pick: 1. Distance to second place: 475 meV per atom.